Below is Rb2Y2Pb after structural relaxation, with properties calculated at the GGA-PBE level.

The structure in CIF format:
```
data_Rb2Y2Pb
_chemical_formula_sum 'Rb4 Y4 Pb2'
_symmetry_space_group_name_H-M 'I 4/m m m'
_symmetry_Int_Tables_number 139
_symmetry_space_group_name_Hall '-I 4 2'
_cell_length_a 4.484
_cell_length_b 4.484
_cell_length_c 24.333
_cell_angle_alpha 90.00
_cell_angle_beta 90.00
_cell_angle_gamma 90.00
loop_
_atom_site_label
_atom_site_type_symbol
_atom_site_fract_x
_atom_site_fract_y
_atom_site_fract_z
Rb1 Rb 0.000 0.000 0.096
Y1 Y 0.000 0.500 0.250
Pb1 Pb 0.000 0.000 0.500
```

Results
The value obtained for the electronic total energy is -3.182 eV/atom. The formation energy is 0.533 eV per atom. For the energy above the most stable polymorph in this dataset, the calculation gives 0 meV per atom.

Below is Na2Pb2N after structural relaxation, with properties calculated at the GGA-PBE level.

The structure in CIF format:
```
data_Na2Pb2N
_chemical_formula_sum 'Na4 Pb4 N2'
_symmetry_space_group_name_H-M 'I 4/m m m'
_symmetry_Int_Tables_number 139
_symmetry_space_group_name_Hall '-I 4 2'
_cell_length_a 3.720
_cell_length_b 3.720
_cell_length_c 17.893
_cell_angle_alpha 90.00
_cell_angle_beta 90.00
_cell_angle_gamma 90.00
loop_
_atom_site_label
_atom_site_type_symbol
_atom_site_fract_x
_atom_site_fract_y
_atom_site_fract_z
Na1 Na 0.000 0.500 0.250
Pb1 Pb 0.000 0.000 0.080
N1 N 0.000 0.000 0.500
```

Results
The value obtained for the electronic total energy is -2.787 eV/atom. For the energy above the most stable polymorph in this dataset, the calculation gives 411 meV per atom. The raw formation energy comes out at 0.8895 eV/atom.

Repeat the second record exactly.
Below is Na2Pb2N after structural relaxation, with properties calculated at the GGA-PBE level.

The structure in CIF format:
```
data_Na2Pb2N
_chemical_formula_sum 'Na4 Pb4 N2'
_symmetry_space_group_name_H-M 'I 4/m m m'
_symmetry_Int_Tables_number 139
_symmetry_space_group_name_Hall '-I 4 2'
_cell_length_a 3.720
_cell_length_b 3.720
_cell_length_c 17.893
_cell_angle_alpha 90.00
_cell_angle_beta 90.00
_cell_angle_gamma 90.00
loop_
_atom_site_label
_atom_site_type_symbol
_atom_site_fract_x
_atom_site_fract_y
_atom_site_fract_z
Na1 Na 0.000 0.500 0.250
Pb1 Pb 0.000 0.000 0.080
N1 N 0.000 0.000 0.500
```

Results
The value obtained for the electronic total energy is -2.787 eV/atom. For the energy above the most stable polymorph in this dataset, the calculation gives 411 meV per atom. The raw formation energy comes out at 0.8895 eV/atom.